Density functional theory data (PBE) for an optimized crystal structure of CaTaTc2.

The structure in CIF format:
```
data_CaTaTc2
_chemical_formula_sum 'Ca2 Ta2 Tc4'
_cell_length_a 3.291
_cell_length_b 4.768
_cell_length_c 9.174
_cell_angle_alpha 90.00
_cell_angle_beta 90.00
_cell_angle_gamma 90.00
_symmetry_space_group_name_H-M 'C m m m'
_symmetry_Int_Tables_number 65
_symmetry_space_group_name_Hall '-C 2 2'
loop_
_atom_site_label
_atom_site_type_symbol
_atom_site_fract_x
_atom_site_fract_y
_atom_site_fract_z
Ca1 Ca 0.000 0.000 0.000
Ta1 Ta 0.000 0.000 0.500
Tc1 Tc 0.000 0.500 0.275
```

Output
VASP energy = -8.37 eV per atom
formation energy from the elements = 0.27 eV/atom
distance to the lowest polymorph of the same formula = 93 meV per atom
crystal system = orthorhombic
N(E_F) = 3.26 states/eV/f.u.


Density functional theory data (PBE) for an optimized crystal structure of BeNi2Te.

The structure in CIF format:
```
data_BeNi2Te
_chemical_formula_sum 'Be2 Ni4 Te2'
_cell_length_a 3.689
_cell_length_b 4.481
_cell_length_c 6.511
_cell_angle_alpha 90.00
_cell_angle_beta 90.00
_cell_angle_gamma 90.00
_symmetry_space_group_name_H-M 'I m m m'
_symmetry_Int_Tables_number 71
_symmetry_space_group_name_Hall '-I 2 2'
loop_
_atom_site_label
_atom_site_type_symbol
_atom_site_fract_x
_atom_site_fract_y
_atom_site_fract_z
Be1 Be 0.000 0.000 0.000
Ni1 Ni 0.000 0.500 0.296
Te1 Te 0.000 0.000 0.500
```

Output
VASP energy = -4.52 eV per atom
formation energy from raw total energies = 0.084 eV/atom
distance to the lowest polymorph of the same formula = 113 meV per atom
crystal system = orthorhombic
N(E_F) = 1.47 states/eV/f.u.


Density functional theory data (PBE) for an optimized crystal structure of PmCd11Pt.

The structure in CIF format:
```
data_PmCd11Pt
_chemical_formula_sum 'Pm2 Cd22 Pt2'
_cell_length_a 5.763
_cell_length_b 14.178
_cell_length_c 7.605
_cell_angle_alpha 90.00
_cell_angle_beta 112.12
_cell_angle_gamma 90.00
_symmetry_space_group_name_H-M 'C 1 2/m 1'
_symmetry_Int_Tables_number 12
_symmetry_space_group_name_Hall '-C 2y'
loop_
_atom_site_label
_atom_site_type_symbol
_atom_site_fract_x
_atom_site_fract_y
_atom_site_fract_z
Pm1 Pm 0.000 0.000 0.000
Cd1 Cd 0.000 0.000 0.500
Cd2 Cd 0.100 0.396 0.214
Cd3 Cd 0.192 0.171 0.357
Cd4 Cd 0.250 0.250 0.000
Pt1 Pt 0.000 0.500 0.500
```

Output
VASP energy = -1.78 eV per atom
formation energy from the elements = -0.17 eV/atom
crystal system = monoclinic
N(E_F) = 5.38 states/eV/f.u.


Density functional theory data (PBE) for an optimized crystal structure of MnCrCu.

The structure in CIF format:
```
data_MnCrCu
_chemical_formula_sum 'Mn2 Cr2 Cu2'
_cell_length_a 2.476
_cell_length_b 2.476
_cell_length_c 11.639
_cell_angle_alpha 90.00
_cell_angle_beta 90.00
_cell_angle_gamma 90.00
_symmetry_space_group_name_H-M 'I 4 m m'
_symmetry_Int_Tables_number 107
_symmetry_space_group_name_Hall 'I 4 -2'
loop_
_atom_site_label
_atom_site_type_symbol
_atom_site_fract_x
_atom_site_fract_y
_atom_site_fract_z
Mn1 Mn 0.000 0.000 0.000
Cr1 Cr 0.000 0.000 0.664
Cu1 Cu 0.000 0.000 0.332
```

Output
VASP energy = -7.36 eV per atom
formation energy from the elements = 0.27 eV/atom
distance to the lowest polymorph of the same formula = 123 meV per atom
crystal system = tetragonal
N(E_F) = 3.23 states/eV/f.u.


Density functional theory data (PBE) for an optimized crystal structure of Pm5PrHo2.

The structure in CIF format:
```
data_Pm5PrHo2
_chemical_formula_sum 'Pm10 Pr2 Ho4'
_cell_length_a 7.252
_cell_length_b 14.507
_cell_length_c 5.117
_cell_angle_alpha 90.00
_cell_angle_beta 90.00
_cell_angle_gamma 90.00
_symmetry_space_group_name_H-M 'P b a m'
_symmetry_Int_Tables_number 55
_symmetry_space_group_name_Hall '-P 2 2ab'
loop_
_atom_site_label
_atom_site_type_symbol
_atom_site_fract_x
_atom_site_fract_y
_atom_site_fract_z
Pm1 Pm 0.000 0.000 0.000
Pm2 Pm 0.001 0.249 0.000
Pm3 Pm 0.249 0.874 0.500
Pr1 Pr 0.000 0.500 0.000
Ho1 Ho 0.250 0.125 0.500
```

Output
VASP energy = -4.70 eV per atom
formation energy from the elements = 0.01 eV/atom
distance to the lowest polymorph of the same formula = 0 meV per atom
crystal system = orthorhombic
N(E_F) = 11.50 states/eV/f.u.


Density functional theory data (PBE) for an optimized crystal structure of TeRh2SeS.

The structure in CIF format:
```
data_TeRh2SeS
_chemical_formula_sum 'Te1 Rh2 Se1 S1'
_cell_length_a 4.419
_cell_length_b 4.419
_cell_length_c 5.134
_cell_angle_alpha 90.00
_cell_angle_beta 90.00
_cell_angle_gamma 90.00
_symmetry_space_group_name_H-M 'P 4/m m m'
_symmetry_Int_Tables_number 123
_symmetry_space_group_name_Hall '-P 4 2'
loop_
_atom_site_label
_atom_site_type_symbol
_atom_site_fract_x
_atom_site_fract_y
_atom_site_fract_z
Te1 Te 0.000 0.000 0.000
Rh1 Rh 0.000 0.500 0.500
Se1 Se 0.500 0.500 0.000
S1 S 0.500 0.500 0.500
```

Output
VASP energy = -4.70 eV per atom
formation energy from raw total energies = 0.391 eV/atom
crystal system = tetragonal
N(E_F) = 3.09 states/eV/f.u.


What is the VASP energy in the second record? -4.52 eV per atom


Which formula does entry 3 have? PmCd11Pt


Which of these has the lowest VASP energy? CaTaTc2